Record 1
First-principles (PBE) data for a relaxed K2TeSe crystal, as listed in the Alexandria database.

**Uncorrected formation energy**: -0.673 eV per atom
**Crystal system**: orthorhombic
**Space-group type**: Pmm2
**Offset from the most stable computed form**: 163.7 meV/atom
**DFT total energy**: -2.878 eV per atom

Cell: 3.127 6.210 6.898 Å, 90.00 90.00 90.00°
Atoms (fractional coordinates):
1 Te 0.500 0.500 0.875
2 K 0.500 0.500 0.375
3 K 0.000 0.000 0.875
4 Se 0.000 0.000 0.375

---

Record 2
First-principles (PBE) data for a relaxed AlCd2Re crystal, as listed in the Alexandria database.

**Crystal system**: cubic
**Space-group type**: F-43m
**DFT total energy**: -3.988 eV per atom

Cell: 4.632 4.632 4.632 Å, 60.00 60.00 60.00°
Atoms (fractional coordinates):
1 Al 0.500 0.500 0.500
2 Cd 0.250 0.250 0.250
3 Cd 0.000 0.000 0.000
4 Re 0.750 0.750 0.750

---

Record 3
First-principles (PBE) data for a relaxed Na2Ca2Sc crystal, as listed in the Alexandria database.

**Crystal system**: tetragonal
**Space-group type**: I4/mmm
**Offset from the most stable computed form**: 219.2 meV/atom
**DFT total energy**: -2.080 eV per atom

Cell: 5.063 5.063 7.853 Å, 71.19 71.19 90.00°
Atoms (fractional coordinates):
1 Ca 0.250 0.750 0.500
2 Ca 0.750 0.250 0.500
3 Na 0.592 0.592 0.816
4 Na 0.408 0.408 0.184
5 Sc 0.000 0.000 0.000

---

Record 4
First-principles (PBE) data for a relaxed SrZn2Cd crystal, as listed in the Alexandria database.

**Crystal system**: monoclinic
**Space-group type**: P2_1/m
**DFT total energy**: -1.531 eV per atom

Cell: 4.662 4.320 10.044 Å, 101.99 90.00 90.00°
Atoms (fractional coordinates):
1 Cd 0.250 0.045 0.081
2 Cd 0.750 0.955 0.919
3 Zn 0.750 0.818 0.640
4 Zn 0.250 0.753 0.503
5 Zn 0.250 0.182 0.360
6 Zn 0.750 0.247 0.497
7 Sr 0.250 0.381 0.766
8 Sr 0.750 0.619 0.234

---

Record 5
First-principles (PBE) data for a relaxed PSO2 crystal, as listed in the Alexandria database.

**Uncorrected formation energy**: 0.926 eV per atom
**Crystal system**: cubic
**Space-group type**: Fm-3m
**Offset from the most stable computed form**: 1273.4 meV/atom
**DFT total energy**: -3.937 eV per atom

Cell: 3.933 3.933 3.933 Å, 60.00 60.00 60.00°
Atoms (fractional coordinates):
1 P 0.000 0.000 0.000
2 O 0.750 0.750 0.750
3 O 0.250 0.250 0.250
4 S 0.500 0.500 0.500

---

Record 6
First-principles (PBE) data for a relaxed ErLuH2 crystal, as listed in the Alexandria database.

**Crystal system**: trigonal
**Space-group type**: R-3m
**DFT total energy**: -4.268 eV per atom

Cell: 3.419 3.419 5.906 Å, 73.17 73.17 60.00°
Atoms (fractional coordinates):
1 Er 0.000 0.000 0.000
2 H 0.746 0.746 0.763
3 H 0.254 0.254 0.237
4 Lu 0.500 0.500 0.500

---

Record 7
First-principles (PBE) data for a relaxed Dy3Se3Cl crystal, as listed in the Alexandria database.

**Uncorrected formation energy**: -1.746 eV per atom
**Crystal system**: trigonal
**Space-group type**: R-3
**DFT total energy**: -5.476 eV per atom

Cell: 8.555 8.555 7.530 Å, 55.38 55.38 60.00°
Atoms (fractional coordinates):
1 Se 0.380 0.794 0.738
2 Se 0.206 0.911 0.262
3 Se 0.620 0.206 0.262
4 Se 0.911 0.620 0.262
5 Se 0.089 0.380 0.738
6 Se 0.794 0.089 0.738
7 Dy 0.559 0.914 0.239
8 Dy 0.086 0.712 0.761
9 Dy 0.712 0.441 0.761
10 Dy 0.288 0.559 0.239
11 Dy 0.914 0.288 0.239
12 Dy 0.441 0.086 0.761
13 Cl 0.673 0.673 0.980
14 Cl 0.327 0.327 0.020

---

Record 8
First-principles (PBE) data for a relaxed TiSbTe2Pt crystal, as listed in the Alexandria database.

**Uncorrected formation energy**: 0.500 eV per atom
**Crystal system**: tetragonal
**Space-group type**: P4/mmm
**Offset from the most stable computed form**: 0.0 meV/atom
**DFT total energy**: -4.368 eV per atom

Cell: 5.156 5.156 5.217 Å, 90.00 90.00 90.00°
Atoms (fractional coordinates):
1 Ti 0.000 0.000 0.000
2 Sb 0.000 0.000 0.500
3 Te 0.500 0.000 0.000
4 Te 0.000 0.500 0.000
5 Pt 0.500 0.500 0.500

---

Record 9
First-principles (PBE) data for a relaxed LiCa2Pb3 crystal, as listed in the Alexandria database.

**Crystal system**: orthorhombic
**Space-group type**: Cmmm
**Offset from the most stable computed form**: 0.0 meV/atom
**DFT total energy**: -3.269 eV per atom

Cell: 5.470 8.714 7.441 Å, 90.00 90.00 71.71°
Atoms (fractional coordinates):
1 Pb 0.500 0.000 0.762
2 Pb 0.179 0.643 0.222
3 Pb 0.179 0.643 0.778
4 Pb 0.821 0.357 0.222
5 Pb 0.821 0.357 0.778
6 Pb 0.500 0.000 0.238
7 Ca 0.000 0.000 0.500
8 Ca 0.000 0.000 0.000
9 Ca 0.664 0.673 0.500
10 Ca 0.336 0.327 0.500
11 Li 0.654 0.691 0.000
12 Li 0.346 0.309 0.000

---

Record 10
First-principles (PBE) data for a relaxed CsAsWSe2 crystal, as listed in the Alexandria database.

**Uncorrected formation energy**: -0.159 eV per atom
**Crystal system**: tetragonal
**Space-group type**: P4/mmm
**Offset from the most stable computed form**: 0.0 meV/atom
**DFT total energy**: -5.244 eV per atom

Cell: 5.137 5.137 4.983 Å, 90.00 90.00 90.00°
Atoms (fractional coordinates):
1 W 0.000 0.000 0.000
2 Cs 0.500 0.500 0.500
3 Se 0.000 0.500 0.000
4 Se 0.500 0.000 0.000
5 As 0.000 0.000 0.500

---

Record 11
First-principles (PBE) data for a relaxed PmY2Er6Tm crystal, as listed in the Alexandria database.

**Crystal system**: monoclinic
**Space-group type**: C2/c
**DFT total energy**: -4.827 eV per atom

Cell: 9.412 8.742 8.742 Å, 117.50 93.20 93.20°
Atoms (fractional coordinates):
1 Pm 0.250 0.973 0.027
2 Pm 0.750 0.027 0.973
3 Er 0.617 0.488 0.710
4 Er 0.117 0.710 0.488
5 Er 0.883 0.290 0.512
6 Er 0.184 0.565 0.016
7 Er 0.942 0.875 0.247
8 Er 0.316 0.984 0.435
9 Er 0.684 0.016 0.565
10 Er 0.442 0.247 0.875
11 Er 0.558 0.753 0.125
12 Er 0.383 0.512 0.290
13 Er 0.816 0.435 0.984
14 Er 0.058 0.125 0.753
15 Tm 0.250 0.410 0.590
16 Tm 0.750 0.590 0.410
17 Y 0.547 0.200 0.305
18 Y 0.453 0.800 0.695
19 Y 0.953 0.695 0.800
20 Y 0.047 0.305 0.200

---

Record 12
First-principles (PBE) data for a relaxed GdHoNiGe crystal, as listed in the Alexandria database.

**Crystal system**: cubic
**Space-group type**: F-43m
**DFT total energy**: -7.800 eV per atom

Cell: 4.939 4.939 4.939 Å, 60.00 60.00 60.00°
Atoms (fractional coordinates):
1 Ni 0.750 0.750 0.750
2 Ge 0.250 0.250 0.250
3 Gd 0.500 0.500 0.500
4 Ho 0.000 0.000 0.000

---

Record 13
First-principles (PBE) data for a relaxed Pr4NiRuBr2 crystal, as listed in the Alexandria database.

**Uncorrected formation energy**: -0.818 eV per atom
**Crystal system**: monoclinic
**Space-group type**: P2/m
**DFT total energy**: -5.508 eV per atom

Cell: 4.107 7.076 8.265 Å, 106.60 90.00 90.00°
Atoms (fractional coordinates):
1 Br 0.000 0.500 0.500
2 Br 0.500 0.000 0.500
3 Ru 0.500 0.500 0.000
4 Pr 0.000 0.270 0.800
5 Pr 0.500 0.768 0.807
6 Pr 0.500 0.232 0.193
7 Pr 0.000 0.730 0.200
8 Ni 0.000 0.000 0.000

---

Record 14
First-principles (PBE) data for a relaxed TaCo2Ru crystal, as listed in the Alexandria database.

**Crystal system**: cubic
**Space-group type**: F-43m
**Offset from the most stable computed form**: 204.6 meV/atom
**DFT total energy**: -8.846 eV per atom

Cell: 4.252 4.252 4.252 Å, 60.00 60.00 60.00°
Atoms (fractional coordinates):
1 Ru 0.500 0.500 0.500
2 Ta 0.750 0.750 0.750
3 Co 0.250 0.250 0.250
4 Co 0.000 0.000 0.000

---

Record 15
First-principles (PBE) data for a relaxed Os3Ru4 crystal, as listed in the Alexandria database.

**Crystal system**: tetragonal
**Space-group type**: I4/mmm
**Offset from the most stable computed form**: 154.0 meV/atom
**DFT total energy**: -9.511 eV per atom

Cell: 9.888 9.888 9.888 Å, 161.03 161.03 26.95°
Atoms (fractional coordinates):
1 Os 0.286 0.286 0.000
2 Os 0.714 0.714 0.000
3 Os 0.000 0.000 0.000
4 Ru 0.572 0.572 0.000
5 Ru 0.428 0.428 0.000
6 Ru 0.143 0.143 0.000
7 Ru 0.857 0.857 0.000

---

Record 16
First-principles (PBE) data for a relaxed DyHoSn2 crystal, as listed in the Alexandria database.

**Crystal system**: orthorhombic
**Space-group type**: Pmc2_1
**DFT total energy**: -5.001 eV per atom

Cell: 4.283 6.128 8.343 Å, 90.00 90.00 90.00°
Atoms (fractional coordinates):
1 Sn 0.000 0.408 0.044
2 Sn 0.000 0.592 0.544
3 Sn 0.500 0.091 0.956
4 Sn 0.500 0.909 0.456
5 Dy 0.000 0.875 0.183
6 Dy 0.000 0.125 0.683
7 Ho 0.500 0.375 0.318
8 Ho 0.500 0.625 0.818

---

Record 17
First-principles (PBE) data for a relaxed Rb2Cd3Pb crystal, as listed in the Alexandria database.

**Crystal system**: monoclinic
**Space-group type**: C2/m
**DFT total energy**: -1.467 eV per atom

Cell: 6.631 6.631 6.633 Å, 89.82 120.23 119.97°
Atoms (fractional coordinates):
1 Cd 0.500 0.500 0.500
2 Cd 0.000 0.000 0.500
3 Cd 0.500 0.000 0.500
4 Pb 0.000 0.000 0.000
5 Rb 0.748 0.374 0.123
6 Rb 0.252 0.626 0.877

---

Record 18
First-principles (PBE) data for a relaxed CaIn4Ag2 crystal, as listed in the Alexandria database.

**Crystal system**: orthorhombic
**Space-group type**: Pnma
**Offset from the most stable computed form**: 0.0 meV/atom
**DFT total energy**: -2.879 eV per atom

Cell: 4.706 7.717 18.692 Å, 90.00 90.00 90.00°
Atoms (fractional coordinates):
1 In 0.750 0.634 0.966
2 In 0.250 0.366 0.034
3 In 0.250 0.486 0.434
4 In 0.750 0.514 0.566
5 In 0.250 0.258 0.188
6 In 0.750 0.758 0.312
7 In 0.750 0.742 0.812
8 In 0.250 0.855 0.187
9 In 0.250 0.014 0.934
10 In 0.750 0.866 0.466
11 In 0.750 0.355 0.313
12 In 0.250 0.242 0.688
13 In 0.250 0.134 0.534
14 In 0.750 0.986 0.066
15 In 0.750 0.145 0.813
16 In 0.250 0.645 0.687
17 Ca 0.750 0.947 0.645
18 Ca 0.750 0.553 0.145
19 Ca 0.250 0.053 0.355
20 Ca 0.250 0.447 0.855
21 Ag 0.250 0.941 0.780
22 Ag 0.750 0.246 0.458
23 Ag 0.250 0.754 0.542
24 Ag 0.750 0.059 0.220
25 Ag 0.250 0.559 0.280
26 Ag 0.750 0.441 0.720
27 Ag 0.750 0.254 0.958
28 Ag 0.250 0.746 0.042

---

Record 19
First-principles (PBE) data for a relaxed Li2AcSiSe4 crystal, as listed in the Alexandria database.

**Uncorrected formation energy**: -1.070 eV per atom
**Crystal system**: orthorhombic
**Space-group type**: Pmn2_1
**DFT total energy**: -4.482 eV per atom

Cell: 6.470 6.384 9.816 Å, 90.00 90.00 90.00°
Atoms (fractional coordinates):
1 Se 0.351 0.641 0.300
2 Se 0.457 0.163 0.500
3 Se 0.378 0.193 0.000
4 Se 0.878 0.807 0.500
5 Se 0.351 0.641 0.700
6 Se 0.957 0.837 0.000
7 Se 0.851 0.359 0.200
8 Se 0.851 0.359 0.800
9 Si 0.507 0.798 0.500
10 Si 0.007 0.202 0.000
11 Li 0.980 0.738 0.249
12 Li 0.480 0.262 0.251
13 Li 0.980 0.738 0.751
14 Li 0.480 0.262 0.749
15 Ac 0.495 0.684 0.000
16 Ac 0.995 0.316 0.500

---

Record 20
First-principles (PBE) data for a relaxed PrSm4Er7 crystal, as listed in the Alexandria database.

**Crystal system**: triclinic
**Space-group type**: P-1
**Offset from the most stable computed form**: 0.0 meV/atom
**DFT total energy**: -4.548 eV per atom

Cell: 6.835 6.559 11.825 Å, 74.91 49.45 81.24°
Atoms (fractional coordinates):
1 Sm 0.301 0.167 0.311
2 Sm 0.699 0.833 0.689
3 Sm 0.484 0.362 0.712
4 Sm 0.516 0.638 0.288
5 Er 0.798 0.516 0.951
6 Er 0.719 0.188 0.385
7 Er 0.202 0.484 0.049
8 Er 0.281 0.812 0.615
9 Er 0.059 0.319 0.644
10 Er 0.500 0.000 0.000
11 Er 0.941 0.681 0.356
12 Pr 0.000 0.000 0.000

---

Record 21
First-principles (PBE) data for a relaxed Re2BiPbO8 crystal, as listed in the Alexandria database.

**Uncorrected formation energy**: -1.258 eV per atom
**Crystal system**: monoclinic
**Space-group type**: C2/m
**DFT total energy**: -7.271 eV per atom

Cell: 6.448 6.699 7.981 Å, 46.01 66.17 61.23°
Atoms (fractional coordinates):
1 Bi 0.500 0.500 0.500
2 O 0.658 0.507 0.177
3 O 0.808 0.036 0.741
4 O 0.151 0.447 0.252
5 O 0.192 0.964 0.259
6 O 0.415 0.036 0.741
7 O 0.849 0.553 0.748
8 O 0.342 0.493 0.823
9 O 0.585 0.964 0.259
10 Re 0.696 0.744 0.864
11 Re 0.304 0.256 0.136
12 Pb 0.000 0.000 0.000

---

Record 22
First-principles (PBE) data for a relaxed Mg3SiSe crystal, as listed in the Alexandria database.

**Uncorrected formation energy**: -0.193 eV per atom
**Crystal system**: cubic
**Space-group type**: Pm-3m
**Offset from the most stable computed form**: 0.0 meV/atom
**DFT total energy**: -2.931 eV per atom

Cell: 4.965 4.965 4.965 Å, 90.00 90.00 90.00°
Atoms (fractional coordinates):
1 Mg 0.000 0.000 0.500
2 Mg 0.000 0.500 0.000
3 Mg 0.500 0.000 0.000
4 Se 0.500 0.500 0.500
5 Si 0.000 0.000 0.000

---

Record 23
First-principles (PBE) data for a relaxed NdDy2Th crystal, as listed in the Alexandria database.

**Crystal system**: trigonal
**Space-group type**: R-3m
**Offset from the most stable computed form**: 1.3 meV/atom
**DFT total energy**: -5.334 eV per atom

Cell: 3.596 3.596 11.772 Å, 81.22 81.22 60.00°
Atoms (fractional coordinates):
1 Dy 0.248 0.248 0.257
2 Dy 0.752 0.752 0.743
3 Th 0.500 0.500 0.500
4 Nd 0.000 0.000 0.000